ZnCr2W: relaxed, PBE.

Lattice parameters (Å, degrees): 4.8816 4.8816 4.8816 142.95 128.78 64.89
Fractional positions:
Zn: 0.0000 0.0000 0.0000
Cr: 0.2599 0.7599 0.5000
Cr: 0.7401 0.2401 0.5000
W: 0.5000 0.5000 0.0000

Values from the calculation:
DFT formation energy = 0.294 eV/atom
uncorrected energy = -8.07 eV/atom
V = 13.48 Å³ per atom



ZnCr3W: relaxed, PBE.

Lattice parameters (Å, degrees): 4.4438 4.4438 4.4438 90.00 90.00 90.00
Fractional positions:
Zn: 0.0000 0.0000 0.0000
Cr: 0.0000 0.0000 0.5000
Cr: 0.0000 0.5000 0.0000
Cr: 0.5000 0.0000 0.0000
W: 0.5000 0.5000 0.5000

Values from the calculation:
energy above the most stable polymorph in this dataset = 173.3 meV/atom
DFT formation energy = 1.702 eV/atom
uncorrected energy = -6.92 eV/atom
V = 17.55 Å³ per atom



ZnCr2W: relaxed, PBE.

Lattice parameters (Å, degrees): 2.5851 4.1871 5.0629 90.00 101.62 90.00
Fractional positions:
Zn: 0.0000 0.0000 0.0000
Cr: 0.5996 0.0000 0.4756
Cr: 0.8141 0.5000 0.2570
W: 0.3244 0.5000 0.7372

Values from the calculation:
DFT formation energy = 0.233 eV/atom
uncorrected energy = -8.14 eV/atom
V = 13.42 Å³ per atom



ZnCr2W: relaxed, PBE.

Lattice parameters (Å, degrees): 9.2019 9.2019 9.2019 16.60 16.60 16.60
Fractional positions:
Zn: 0.0000 0.0000 0.0000
Cr: 0.2525 0.2525 0.2525
Cr: 0.7475 0.7475 0.7475
W: 0.5000 0.5000 0.5000

Values from the calculation:
DFT formation energy = 0.440 eV/atom
uncorrected energy = -7.93 eV/atom
V = 13.86 Å³ per atom



Zn3CrW: relaxed, PBE.

Lattice parameters (Å, degrees): 4.8792 4.8792 4.8792 90.00 90.00 90.00
Fractional positions:
Zn: 0.0000 0.0000 0.5000
Zn: 0.0000 0.5000 0.0000
Zn: 0.5000 0.0000 0.0000
Cr: 0.5000 0.5000 0.5000
W: 0.0000 0.0000 0.0000

Values from the calculation:
energy above the most stable polymorph in this dataset = 0.0 meV/atom
DFT formation energy = 1.375 eV/atom
uncorrected energy = -3.90 eV/atom
V = 23.23 Å³ per atom



ZnCrW: relaxed, PBE.

Lattice parameters (Å, degrees): 4.1801 4.1801 4.1801 60.00 60.00 60.00
Fractional positions:
Zn: 0.0000 0.0000 0.0000
Cr: 0.5000 0.5000 0.5000
W: 0.7500 0.7500 0.7500

Values from the calculation:
energy above the most stable polymorph in this dataset = 901.7 meV/atom
DFT formation energy = 1.117 eV/atom
uncorrected energy = -6.83 eV/atom
V = 17.22 Å³ per atom